The following is a GGA-PBE calculation of crystalline SrCa2Hg2Ge2 at its relaxed geometry, from Alexandria via LeMat-Bulk.

Cell lengths 9.537, 9.537, 9.537 Å; angles 29.77, 29.77, 29.77 degrees
Element x y z (fractional)
Sr (0.000, 0.000, 0.000)
Ca (0.135, 0.135, 0.135)
Ca (0.865, 0.865, 0.865)
Hg (0.430, 0.430, 0.430)
Hg (0.570, 0.570, 0.570)
Ge (0.257, 0.257, 0.257)
Ge (0.743, 0.743, 0.743)

Values from the calculation:
size of the total moment: 0.000 μB per atom

=====

The following is a GGA-PBE calculation of crystalline CaTbHgGe at its relaxed geometry, from Alexandria via LeMat-Bulk.

Cell lengths 7.371, 7.371, 7.371 Å; angles 90.00, 90.00, 90.00 degrees
Element x y z (fractional)
Ca (0.000, 0.000, 0.000)
Ca (0.000, 0.500, 0.500)
Ca (0.500, 0.000, 0.500)
Ca (0.500, 0.500, 0.000)
Tb (0.000, 0.000, 0.500)
Tb (0.000, 0.500, 0.000)
Tb (0.500, 0.000, 0.000)
Tb (0.500, 0.500, 0.500)
Hg (0.250, 0.250, 0.750)
Hg (0.250, 0.750, 0.250)
Hg (0.750, 0.250, 0.250)
Hg (0.750, 0.750, 0.750)
Ge (0.250, 0.250, 0.250)
Ge (0.250, 0.750, 0.750)
Ge (0.750, 0.250, 0.750)
Ge (0.750, 0.750, 0.250)

Values from the calculation:
size of the total moment: 0.000 μB per atom

=====

The following is a GGA-PBE calculation of crystalline CaThHgGe at its relaxed geometry, from Alexandria via LeMat-Bulk.

Cell lengths 7.468, 7.468, 7.468 Å; angles 90.00, 90.00, 90.00 degrees
Element x y z (fractional)
Ca (0.000, 0.000, 0.000)
Ca (0.000, 0.500, 0.500)
Ca (0.500, 0.000, 0.500)
Ca (0.500, 0.500, 0.000)
Th (0.000, 0.000, 0.500)
Th (0.000, 0.500, 0.000)
Th (0.500, 0.000, 0.000)
Th (0.500, 0.500, 0.500)
Hg (0.250, 0.250, 0.250)
Hg (0.250, 0.750, 0.750)
Hg (0.750, 0.250, 0.750)
Hg (0.750, 0.750, 0.250)
Ge (0.250, 0.250, 0.750)
Ge (0.250, 0.750, 0.250)
Ge (0.750, 0.250, 0.250)
Ge (0.750, 0.750, 0.750)

Values from the calculation:
size of the total moment: 0.000 μB per atom

=====

The following is a GGA-PBE calculation of crystalline CaTlHgGe at its relaxed geometry, from Alexandria via LeMat-Bulk.

Cell lengths 7.463, 7.463, 7.463 Å; angles 90.00, 90.00, 90.00 degrees
Element x y z (fractional)
Ca (0.000, 0.000, 0.000)
Ca (0.000, 0.500, 0.500)
Ca (0.500, 0.000, 0.500)
Ca (0.500, 0.500, 0.000)
Tl (0.000, 0.000, 0.500)
Tl (0.000, 0.500, 0.000)
Tl (0.500, 0.000, 0.000)
Tl (0.500, 0.500, 0.500)
Hg (0.250, 0.250, 0.250)
Hg (0.250, 0.750, 0.750)
Hg (0.750, 0.250, 0.750)
Hg (0.750, 0.750, 0.250)
Ge (0.250, 0.250, 0.750)
Ge (0.250, 0.750, 0.250)
Ge (0.750, 0.250, 0.250)
Ge (0.750, 0.750, 0.750)

Values from the calculation:
size of the total moment: 0.000 μB per atom

=====

The following is a GGA-PBE calculation of crystalline CaTmHgGe at its relaxed geometry, from Alexandria via LeMat-Bulk.

Cell lengths 7.310, 7.310, 7.310 Å; angles 90.00, 90.00, 90.00 degrees
Element x y z (fractional)
Ca (0.000, 0.000, 0.000)
Ca (0.000, 0.500, 0.500)
Ca (0.500, 0.000, 0.500)
Ca (0.500, 0.500, 0.000)
Tm (0.000, 0.000, 0.500)
Tm (0.000, 0.500, 0.000)
Tm (0.500, 0.000, 0.000)
Tm (0.500, 0.500, 0.500)
Hg (0.250, 0.250, 0.750)
Hg (0.250, 0.750, 0.250)
Hg (0.750, 0.250, 0.250)
Hg (0.750, 0.750, 0.750)
Ge (0.250, 0.250, 0.250)
Ge (0.250, 0.750, 0.750)
Ge (0.750, 0.250, 0.750)
Ge (0.750, 0.750, 0.250)

Values from the calculation:
size of the total moment: 0.000 μB per atom

=====

The following is a GGA-PBE calculation of crystalline CaHgGe2W at its relaxed geometry, from Alexandria via LeMat-Bulk.

Cell lengths 5.104, 5.104, 5.220 Å; angles 90.00, 90.00, 90.00 degrees
Element x y z (fractional)
Ca (0.000, 0.000, 0.000)
Hg (0.000, 0.000, 0.500)
Ge (0.000, 0.500, 0.000)
Ge (0.500, 0.000, 0.000)
W (0.500, 0.500, 0.500)

Values from the calculation:
size of the total moment: 0.049 μB per atom

=====

The following is a GGA-PBE calculation of crystalline CaYHgGe at its relaxed geometry, from Alexandria via LeMat-Bulk.

Cell lengths 7.363, 7.363, 7.363 Å; angles 90.00, 90.00, 90.00 degrees
Element x y z (fractional)
Ca (0.000, 0.000, 0.000)
Ca (0.000, 0.500, 0.500)
Ca (0.500, 0.000, 0.500)
Ca (0.500, 0.500, 0.000)
Y (0.000, 0.000, 0.500)
Y (0.000, 0.500, 0.000)
Y (0.500, 0.000, 0.000)
Y (0.500, 0.500, 0.500)
Hg (0.250, 0.250, 0.250)
Hg (0.250, 0.750, 0.750)
Hg (0.750, 0.250, 0.750)
Hg (0.750, 0.750, 0.250)
Ge (0.250, 0.250, 0.750)
Ge (0.250, 0.750, 0.250)
Ge (0.750, 0.250, 0.250)
Ge (0.750, 0.750, 0.750)

Values from the calculation:
size of the total moment: 0.000 μB per atom

=====

The following is a GGA-PBE calculation of crystalline CaZnHgGe at its relaxed geometry, from Alexandria via LeMat-Bulk.

Cell lengths 7.044, 7.044, 7.044 Å; angles 90.00, 90.00, 90.00 degrees
Element x y z (fractional)
Ca (0.000, 0.000, 0.000)
Ca (0.000, 0.500, 0.500)
Ca (0.500, 0.000, 0.500)
Ca (0.500, 0.500, 0.000)
Zn (0.000, 0.000, 0.500)
Zn (0.000, 0.500, 0.000)
Zn (0.500, 0.000, 0.000)
Zn (0.500, 0.500, 0.500)
Hg (0.250, 0.250, 0.750)
Hg (0.250, 0.750, 0.250)
Hg (0.750, 0.250, 0.250)
Hg (0.750, 0.750, 0.750)
Ge (0.250, 0.250, 0.250)
Ge (0.250, 0.750, 0.750)
Ge (0.750, 0.250, 0.750)
Ge (0.750, 0.750, 0.250)

Values from the calculation:
size of the total moment: 0.000 μB per atom

=====

The following is a GGA-PBE calculation of crystalline CaHoGe2 at its relaxed geometry, from Alexandria via LeMat-Bulk.

Cell lengths 3.559, 3.559, 7.408 Å; angles 90.00, 90.00, 90.00 degrees
Element x y z (fractional)
Ca (0.000, 0.000, 0.000)
Ho (0.000, 0.000, 0.500)
Ge (0.500, 0.500, 0.260)
Ge (0.500, 0.500, 0.740)

Values from the calculation:
size of the total moment: 0.000 μB per atom

=====

The following is a GGA-PBE calculation of crystalline CaHo4Ge4 at its relaxed geometry, from Alexandria via LeMat-Bulk.

Cell lengths 9.391, 9.391, 5.772 Å; angles 90.00, 90.00, 90.00 degrees
Element x y z (fractional)
Ca (0.250, 0.250, 0.250)
Ca (0.750, 0.750, 0.750)
Ho (0.106, 0.636, 0.135)
Ho (0.136, 0.894, 0.635)
Ho (0.364, 0.606, 0.635)
Ho (0.394, 0.864, 0.135)
Ho (0.606, 0.136, 0.865)
Ho (0.636, 0.394, 0.365)
Ho (0.864, 0.106, 0.365)
Ho (0.894, 0.364, 0.865)
Ge (0.051, 0.594, 0.646)
Ge (0.094, 0.949, 0.146)
Ge (0.406, 0.551, 0.146)
Ge (0.449, 0.906, 0.646)
Ge (0.551, 0.094, 0.354)
Ge (0.594, 0.449, 0.854)
Ge (0.906, 0.051, 0.854)
Ge (0.949, 0.406, 0.354)

Values from the calculation:
size of the total moment: 0.000 μB per atom

=====

The following is a GGA-PBE calculation of crystalline CaHoGe2 at its relaxed geometry, from Alexandria via LeMat-Bulk.

Cell lengths 3.952, 4.396, 10.815 Å; angles 90.00, 90.00, 90.00 degrees
Element x y z (fractional)
Ca (0.000, 0.000, 0.000)
Ca (0.000, 0.500, 0.500)
Ho (0.500, 0.000, 0.277)
Ho (0.500, 0.500, 0.777)
Ge (0.000, 0.000, 0.723)
Ge (0.000, 0.500, 0.223)
Ge (0.500, 0.000, 0.560)
Ge (0.500, 0.500, 0.060)

Values from the calculation:
size of the total moment: 0.000 μB per atom

=====

The following is a GGA-PBE calculation of crystalline Li2CaHo2Ge2 at its relaxed geometry, from Alexandria via LeMat-Bulk.

Cell lengths 9.320, 9.320, 9.320 Å; angles 28.19, 28.19, 28.19 degrees
Element x y z (fractional)
Li (0.095, 0.095, 0.095)
Li (0.905, 0.905, 0.905)
Ca (0.500, 0.500, 0.500)
Ho (0.372, 0.372, 0.372)
Ho (0.628, 0.628, 0.628)
Ge (0.245, 0.245, 0.245)
Ge (0.755, 0.755, 0.755)

Values from the calculation:
size of the total moment: 0.000 μB per atom

=====

no.,final energy (eV/atom),E_form (eV per atom)
1,-2.624,-0.406
2,-3.438,-0.550
3,-3.995,-0.410
4,-2.509,-0.188
5,-3.374,-0.526
6,-2.889,2.009
7,-3.902,-0.556
8,-2.276,-0.227
9,-4.505,-0.552
10,-4.913,-0.604
11,-4.676,-0.722
12,-3.935,-0.475